# 1
A relaxed structure of CaSmPd. Source: Alexandria via LeMat-Bulk, functional PBE.

## Properties
E above lowest polymorph: 0 kJ/mol of formula units
energy: -4.50 eV per atom
Fermi-level density of states: 1.97 states/eV/f.u.
ΔE_f: -0.53 eV/atom
space-group type: No. 62

abc: 3.910 7.957 10.846
angles: 90.00 90.00 90.00
Element x y z (fractional)
Ca (0.750, 0.323, 0.458)
Ca (0.250, 0.677, 0.542)
Ca (0.250, 0.177, 0.958)
Ca (0.750, 0.823, 0.042)
Sm (0.750, 0.512, 0.807)
Sm (0.250, 0.988, 0.307)
Sm (0.250, 0.488, 0.193)
Sm (0.750, 0.012, 0.693)
Pd (0.250, 0.298, 0.677)
Pd (0.750, 0.202, 0.177)
Pd (0.750, 0.702, 0.323)
Pd (0.250, 0.798, 0.823)

# 2
A relaxed structure of GePOs3. Source: Alexandria via LeMat-Bulk, functional PBE.

## Properties
E above lowest polymorph: 476 kJ/mol of formula units
energy: -6.69 eV per atom
Fermi-level density of states: 5.37 states/eV/f.u.
ΔE_f: 2.05 eV/atom
space-group type: No. 221

abc: 4.528 4.528 4.528
angles: 90.00 90.00 90.00
Each line ends with the local moment (μB).
Element x y z (fractional)
Os (0.000, 0.000, 0.500)  0.14
Os (0.000, 0.500, 0.000)  0.23
Os (0.500, 0.000, 0.000)  0.23
P (0.500, 0.500, 0.500)  -0.03
Ge (0.000, 0.000, 0.000)  -0.01

# 3
A relaxed structure of Pm12Tl4CdO3. Source: Alexandria via LeMat-Bulk, functional PBE.

## Properties
energy: -5.00 eV per atom
Fermi-level density of states: 12.62 states/eV/f.u.
uncorrected formation energy: -0.889 eV/atom
space-group type: No. 229

abc: 8.908 8.908 8.908
angles: 109.47 109.47 109.47
Element x y z (fractional)
Pm (0.000, 0.273, 0.273)
Pm (0.273, 0.273, 0.000)
Pm (0.750, 0.500, 0.250)
Pm (0.250, 0.500, 0.750)
Pm (0.000, 0.727, 0.727)
Pm (0.727, 0.000, 0.727)
Pm (0.250, 0.750, 0.500)
Pm (0.727, 0.727, 0.000)
Pm (0.500, 0.750, 0.250)
Pm (0.500, 0.250, 0.750)
Pm (0.273, 0.000, 0.273)
Pm (0.750, 0.250, 0.500)
Tl (0.000, 0.500, 0.000)
Tl (0.000, 0.000, 0.500)
Tl (0.500, 0.500, 0.500)
Tl (0.500, 0.000, 0.000)
Cd (0.000, 0.000, 0.000)
O (0.000, 0.500, 0.500)
O (0.500, 0.500, 0.000)
O (0.500, 0.000, 0.500)